[1]
Zn6Pd2Au: optimized geometry, PBE.

Cell lengths 7.4857, 7.4857, 2.8355 Å; angles 90.00, 90.00, 120.00 degrees
Space group P-62m (No. 189)
Asymmetric unit:
Zn 0.0000 0.3771 0.0000 x3
Zn 0.0000 0.6929 0.5000 x3
Pd 0.3333 0.6667 0.5000 x2
Au 0.0000 0.0000 0.0000 x1

Computed properties:
crystal system: hexagonal
VASP energy: -2.659 eV per atom
offset from the most stable computed form: 0.000 eV per atom
magnetization: 0.00 Bohr magnetons per cell
ΔH_f (0 K): -292 meV per atom


[2]
GdThOsRh: optimized geometry, PBE.

Cell lengths 7.0236, 7.0236, 7.0236 Å; angles 90.00, 90.00, 90.00 degrees
Space group F-43m (No. 216)
Asymmetric unit:
Gd 0.0000 0.0000 0.0000 x4
Th 0.0000 0.0000 0.5000 x4
Os 0.2500 0.2500 0.7500 x4
Rh 0.2500 0.2500 0.2500 x4

Computed properties:
crystal system: cubic
VASP energy: -10.504 eV per atom
magnetization: 27.82 Bohr magnetons per cell
ΔH_f (0 K): -484 meV per atom


[3]
CeHfCuTc: optimized geometry, PBE.

Cell lengths 6.7369, 6.7369, 6.7369 Å; angles 90.00, 90.00, 90.00 degrees
Space group F-43m (No. 216)
Asymmetric unit:
Ce 0.0000 0.0000 0.0000 x4
Hf 0.0000 0.0000 0.5000 x4
Cu 0.2500 0.2500 0.2500 x4
Tc 0.2500 0.2500 0.7500 x4

Computed properties:
crystal system: cubic
VASP energy: -7.680 eV per atom
magnetization: 0.01 Bohr magnetons per cell
ΔH_f (0 K): -93 meV per atom


[4]
TaCuSn2: optimized geometry, PBE.

Cell lengths 6.8312, 6.8312, 6.8312 Å; angles 90.00, 90.00, 90.00 degrees
Space group Fm-3m (No. 225)
Asymmetric unit:
Ta 0.0000 0.0000 0.0000 x4
Cu 0.0000 0.0000 0.5000 x4
Sn 0.2500 0.2500 0.2500 x8

Computed properties:
crystal system: cubic
VASP energy: -5.489 eV per atom
offset from the most stable computed form: 0.240 eV per atom
magnetization: 0.00 Bohr magnetons per cell
ΔH_f (0 K): 499 meV per atom


[5]
Na3GeAu2: optimized geometry, PBE.

Cell lengths 7.5603, 8.0747, 10.0227 Å; angles 90.00, 117.43, 90.00 degrees
Space group P2_1/c (No. 14)
Asymmetric unit:
Na 0.1749 0.2154 0.4030 x4
Na 0.1962 0.5310 0.6604 x4
Na 0.3151 0.6277 0.3601 x4
Ge 0.4085 0.5758 0.0792 x4
Au 0.0325 0.6440 0.9114 x4
Au 0.3983 0.1822 0.7402 x4

Computed properties:
crystal system: monoclinic
VASP energy: -2.791 eV per atom
magnetization: 0.00 Bohr magnetons per cell
ΔH_f (0 K): -269 meV per atom